Record 1
This record from the Alexandria database describes a geometry-optimized TaIn2Cl6 structure. The functional is PBE-GGA.

Cell lengths 7.140, 7.140, 7.454 Å; angles 120.56, 120.56, 60.23 degrees
Element x y z (fractional)
Ta  0.000  0.000  0.000
In  0.249  0.249  0.763
In  0.751  0.751  0.237
Cl  0.197  0.720  0.184
Cl  0.234  0.234  0.304
Cl  0.280  0.803  0.816
Cl  0.720  0.197  0.184
Cl  0.766  0.766  0.696
Cl  0.803  0.280  0.816

Computed properties:
V in Å³ per cell: 267
D(E_F) in states/eV/cell: 5.68
Excess energy over the best structure of this formula in the dataset in meV per atom: 0

Record 2
This record from the Alexandria database describes a geometry-optimized TaInCl2 structure. The functional is PBE-GGA.

Cell lengths 3.060, 4.112, 6.936 Å; angles 90.00, 90.00, 90.00 degrees
Element x y z (fractional)
Ta  0.000  0.000  0.000
In  0.500  0.500  0.687
Cl  0.000  0.000  0.347
Cl  0.500  0.500  0.098

Computed properties:
V in Å³ per cell: 87
D(E_F) in states/eV/cell: 2.50
Excess energy over the best structure of this formula in the dataset in meV per atom: 407

Record 3
This record from the Alexandria database describes a geometry-optimized TaInCl2 structure. The functional is PBE-GGA.

Cell lengths 8.647, 8.647, 8.647 Å; angles 159.84, 149.15, 37.13 degrees
Element x y z (fractional)
Ta  0.000  0.000  0.000
In  0.839  0.339  0.500
Cl  0.120  0.620  0.500
Cl  0.482  0.482  0.000

Computed properties:
V in Å³ per cell: 114
D(E_F) in states/eV/cell: 2.31
Excess energy over the best structure of this formula in the dataset in meV per atom: 417

Record 4
This record from the Alexandria database describes a geometry-optimized TaInCl2 structure. The functional is PBE-GGA.

Cell lengths 7.042, 7.042, 5.381 Å; angles 108.00, 108.00, 25.11 degrees
Element x y z (fractional)
Ta  0.000  0.000  0.000
In  0.500  0.500  0.500
Cl  0.347  0.347  0.832
Cl  0.653  0.653  0.168

Computed properties:
V in Å³ per cell: 107
D(E_F) in states/eV/cell: 2.24
Excess energy over the best structure of this formula in the dataset in meV per atom: 105

Record 5
This record from the Alexandria database describes a geometry-optimized TaInCl2 structure. The functional is PBE-GGA.

Cell lengths 5.318, 5.318, 3.159 Å; angles 90.00, 90.00, 90.00 degrees
Element x y z (fractional)
Ta  0.000  0.000  0.000
In  0.500  0.500  0.000
Cl  0.000  0.500  0.500
Cl  0.500  0.000  0.500

Computed properties:
V in Å³ per cell: 89
D(E_F) in states/eV/cell: 2.00
Excess energy over the best structure of this formula in the dataset in meV per atom: 950

Record 6
This record from the Alexandria database describes a geometry-optimized TaInCl2 structure. The functional is PBE-GGA.

Cell lengths 5.633, 5.633, 3.091 Å; angles 103.49, 103.49, 114.29 degrees
Element x y z (fractional)
Ta  0.000  0.000  0.000
In  0.500  0.500  0.000
Cl  0.000  0.500  0.000
Cl  0.500  0.000  0.000

Computed properties:
V in Å³ per cell: 81
D(E_F) in states/eV/cell: 2.29
Excess energy over the best structure of this formula in the dataset in meV per atom: 608

Record 7
This record from the Alexandria database describes a geometry-optimized TaIn3Cl8 structure. The functional is PBE-GGA.

Cell lengths 9.358, 9.358, 9.839 Å; angles 90.00, 90.00, 120.00 degrees
Element x y z (fractional)
Ta  0.333  0.667  0.000
Ta  0.667  0.333  0.500
In  0.154  0.308  0.501
In  0.154  0.846  0.501
In  0.308  0.154  0.001
In  0.692  0.846  0.501
In  0.846  0.154  0.001
In  0.846  0.692  0.001
Cl  0.000  0.000  0.309
Cl  0.000  0.000  0.809
Cl  0.093  0.547  0.864
Cl  0.213  0.426  0.140
Cl  0.213  0.787  0.140
Cl  0.333  0.667  0.511
Cl  0.426  0.213  0.640
Cl  0.453  0.547  0.864
Cl  0.453  0.907  0.864
Cl  0.547  0.093  0.364
Cl  0.547  0.453  0.364
Cl  0.574  0.787  0.140
Cl  0.667  0.333  0.011
Cl  0.787  0.213  0.640
Cl  0.787  0.574  0.640
Cl  0.907  0.453  0.364

Computed properties:
V in Å³ per cell: 746
E in eV per atom: -3.975

Record 8
This record from the Alexandria database describes a geometry-optimized TaInCl structure. The functional is PBE-GGA.

Cell lengths 9.351, 9.028, 3.205 Å; angles 85.69, 74.32, 19.99 degrees
Element x y z (fractional)
Ta  0.000  0.000  0.000
In  0.353  0.353  0.647
Cl  0.611  0.611  0.389

Computed properties:
V in Å³ per cell: 75
D(E_F) in states/eV/cell: 1.43
Excess energy over the best structure of this formula in the dataset in meV per atom: 166

Record 9
This record from the Alexandria database describes a geometry-optimized TaInCl2 structure. The functional is PBE-GGA.

Cell lengths 5.031, 5.031, 5.031 Å; angles 60.00, 60.00, 60.00 degrees
Element x y z (fractional)
Ta  0.000  0.000  0.000
In  0.250  0.250  0.250
Cl  0.500  0.500  0.500
Cl  0.750  0.750  0.750

Computed properties:
V in Å³ per cell: 90
D(E_F) in states/eV/cell: 3.27
Excess energy over the best structure of this formula in the dataset in meV per atom: 1128

Record 10
This record from the Alexandria database describes a geometry-optimized TaInCl2 structure. The functional is PBE-GGA.

Cell lengths 3.141, 4.654, 6.502 Å; angles 90.00, 90.29, 90.00 degrees
Element x y z (fractional)
Ta  0.000  0.000  0.000
In  0.498  0.500  0.765
Cl  0.002  0.500  0.146
Cl  0.503  0.000  0.299

Computed properties:
V in Å³ per cell: 95
D(E_F) in states/eV/cell: 0.37
Excess energy over the best structure of this formula in the dataset in meV per atom: 185

Q: What is the formula in the second record?
A: TaInCl2

Q: Look up the V of the second one.
A: 87 Å³ per cell